First-principles (GGA-PBE) data for a relaxed structure of RbTlAu3, as listed in the Alexandria database.

Computed properties:
relative energy among the computed polymorphs = 0.000 eV per atom

abc: 6.106 7.575 11.179
angles: 90.00 90.00 90.00
Space group Pnma (No. 62)
One atom of each set of equivalent atoms:
Rb 0.000 0.250 0.006
Tl 0.000 0.000 0.500
Au 0.002 0.250 0.300
Au 0.248 0.065 0.750

***

First-principles (GGA-PBE) data for a relaxed structure of Rb3Tl2Au4, as listed in the Alexandria database.

Computed properties:
relative energy among the computed polymorphs = 0.000 eV per atom

abc: 12.693 4.951 9.807
angles: 90.00 105.93 90.00
Space group C2/m (No. 12)
One atom of each set of equivalent atoms:
Rb 0.000 0.000 0.000
Rb 0.119 0.500 0.706
Tl 0.183 0.500 0.346
Au 0.091 0.000 0.440
Au 0.228 0.500 0.066

***

First-principles (GGA-PBE) data for a relaxed structure of RbTl12Au4, as listed in the Alexandria database.

abc: 10.291 10.291 10.291
angles: 90.00 90.00 90.00
Space group Im-3 (No. 204)
One atom of each set of equivalent atoms:
Rb 0.000 0.000 0.000
Tl 0.000 0.346 0.158
Au 0.250 0.250 0.250

***

First-principles (GGA-PBE) data for a relaxed structure of Rb4Tl3Au5, as listed in the Alexandria database.

Computed properties:
relative energy among the computed polymorphs = 0.000 eV per atom

abc: 12.740 5.432 13.241
angles: 90.00 118.39 90.00
Space group C2/m (No. 12)
One atom of each set of equivalent atoms:
Rb 0.144 0.000 0.498
Rb 0.186 0.000 0.842
Tl 0.000 0.000 0.000
Tl 0.063 0.500 0.239
Au 0.000 0.500 0.000
Au 0.063 0.500 0.623
Au 0.185 0.000 0.259

***

First-principles (GGA-PBE) data for a relaxed structure of Rb6Tl15Au8, as listed in the Alexandria database.

abc: 15.815 15.815 15.815
angles: 90.00 90.00 90.00
Space group Fm-3m (No. 225)
One atom of each set of equivalent atoms:
Rb 0.000 0.000 0.236
Tl 0.000 0.000 0.000
Tl 0.000 0.250 0.250
Tl 0.152 0.152 0.348
Au 0.153 0.153 0.153

***

First-principles (GGA-PBE) data for a relaxed structure of RbTl2Au2, as listed in the Alexandria database.

Computed properties:
relative energy among the computed polymorphs = 0.012 eV per atom

abc: 5.350 5.350 11.024
angles: 90.00 90.00 90.00
Space group I4/mmm (No. 139)
One atom of each set of equivalent atoms:
Rb 0.000 0.000 0.000
Tl 0.000 0.000 0.354
Au 0.000 0.500 0.250

***

First-principles (GGA-PBE) data for a relaxed structure of RbTl2Au2, as listed in the Alexandria database.

Computed properties:
relative energy among the computed polymorphs = 0.000 eV per atom

abc: 4.954 4.954 12.367
angles: 90.00 90.00 90.00
Space group I4/mmm (No. 139)
One atom of each set of equivalent atoms:
Rb 0.000 0.000 0.000
Tl 0.000 0.500 0.250
Au 0.000 0.000 0.389

***

First-principles (GGA-PBE) data for a relaxed structure of RbTl8Au2, as listed in the Alexandria database.

abc: 6.625 6.625 9.985
angles: 90.00 90.00 90.00
Space group P4/mmm (No. 123)
One atom of each set of equivalent atoms:
Rb 0.000 0.000 0.000
Tl 0.252 0.252 0.308
Au 0.000 0.500 0.500

***

First-principles (GGA-PBE) data for a relaxed structure of Rb3Tl5Au6, as listed in the Alexandria database.

abc: 4.895 11.645 14.456
angles: 90.00 90.00 90.00
Space group Immm (No. 71)
One atom of each set of equivalent atoms:
Rb 0.000 0.000 0.000
Rb 0.000 0.000 0.310
Tl 0.000 0.336 0.322
Tl 0.000 0.500 0.000
Au 0.000 0.199 0.500
Au 0.000 0.279 0.111

***

First-principles (GGA-PBE) data for a relaxed structure of Rb8Tl2Au, as listed in the Alexandria database.

abc: 23.982 6.326 8.777
angles: 90.00 108.09 90.00
Space group C2/m (No. 12)
One atom of each set of equivalent atoms:
Rb 0.026 0.000 0.298
Rb 0.092 0.500 0.923
Rb 0.156 0.500 0.467
Rb 0.217 0.000 0.807
Tl 0.178 0.000 0.208
Au 0.000 0.500 0.500

***

First-principles (GGA-PBE) data for a relaxed structure of Rb7Tl2Au2, as listed in the Alexandria database.

abc: 9.794 13.631 8.692
angles: 90.00 90.00 90.00
Space group Cmmm (No. 65)
One atom of each set of equivalent atoms:
Rb 0.000 0.000 0.000
Rb 0.000 0.500 0.253
Rb 0.250 0.250 0.268
Tl 0.150 0.000 0.500
Au 0.000 0.301 0.000

***

First-principles (GGA-PBE) data for a relaxed structure of Rb3Tl8Au3, as listed in the Alexandria database.

abc: 18.799 5.482 10.235
angles: 90.00 122.22 90.00
Space group C2/m (No. 12)
One atom of each set of equivalent atoms:
Rb 0.000 0.000 0.000
Rb 0.217 0.500 0.712
Tl 0.004 0.500 0.330
Tl 0.133 0.000 0.828
Tl 0.147 0.000 0.448
Tl 0.163 0.500 0.027
Au 0.000 0.000 0.500
Au 0.158 0.500 0.310

***

First-principles (GGA-PBE) data for a relaxed structure of RbTl3Au, as listed in the Alexandria database.

Computed properties:
relative energy among the computed polymorphs = 0.000 eV per atom

abc: 9.606 15.183 4.556
angles: 90.00 90.00 90.00
Space group Cmmm (No. 65)
One atom of each set of equivalent atoms:
Rb 0.000 0.212 0.000
Tl 0.000 0.000 0.500
Tl 0.000 0.500 0.000
Tl 0.189 0.379 0.500
Au 0.192 0.000 0.000

***

First-principles (GGA-PBE) data for a relaxed structure of RbTl12Au6, as listed in the Alexandria database.

abc: 14.0024 14.0024 9.9299
angles: 90.00 90.00 120.00
Space group R-3m (No. 166, hexagonal axes)
One atom of each set of equivalent atoms:
Rb 0.0000 0.0000 0.0000
Tl 0.0000 0.3830 0.5000
Tl 0.0847 0.1694 0.3415
Au 0.0157 0.5078 0.2452

***

First-principles (GGA-PBE) data for a relaxed structure of Rb3Tl7Au4, as listed in the Alexandria database.

abc: 18.670 5.244 10.589
angles: 90.00 123.00 90.00
Space group C2/m (No. 12)
One atom of each set of equivalent atoms:
Rb 0.000 0.000 0.000
Rb 0.200 0.500 0.707
Tl 0.000 0.000 0.500
Tl 0.002 0.500 0.305
Tl 0.156 0.000 0.431
Tl 0.176 0.500 0.028
Au 0.132 0.000 0.851
Au 0.161 0.500 0.299

***

First-principles (GGA-PBE) data for a relaxed structure of RbTl4Au3, as listed in the Alexandria database.

abc: 4.947 4.947 9.708
angles: 90.00 90.00 90.00
Space group P4/mmm (No. 123)
One atom of each set of equivalent atoms:
Rb 0.000 0.000 0.000
Tl 0.000 0.500 0.320
Au 0.000 0.000 0.500
Au 0.500 0.500 0.143

***

First-principles (GGA-PBE) data for a relaxed structure of Rb12TlAu6, as listed in the Alexandria database.

abc: 12.359 12.359 12.359
angles: 90.00 90.00 90.00
Space group Im-3 (No. 204)
One atom of each set of equivalent atoms:
Rb 0.000 0.308 0.178
Tl 0.000 0.000 0.000
Au 0.000 0.117 0.500

***

First-principles (GGA-PBE) data for a relaxed structure of Rb4TlAu3, as listed in the Alexandria database.

abc: 4.951 5.042 12.916
angles: 90.00 90.00 90.00
Space group Pmm2 (No. 25)
One atom of each set of equivalent atoms:
Rb 0.000 0.000 0.000
Rb 0.000 0.500 0.464
Rb 0.500 0.000 0.681
Rb 0.500 0.500 0.204
Tl 0.000 0.500 0.784
Au 0.000 0.000 0.273
Au 0.500 0.000 0.400
Au 0.500 0.500 0.897

***

First-principles (GGA-PBE) data for a relaxed structure of RbTl2Au2, as listed in the Alexandria database.

Computed properties:
relative energy among the computed polymorphs = 0.101 eV per atom

abc: 8.851 8.851 3.676
angles: 90.00 90.00 90.00
Space group P4/mbm (No. 127)
One atom of each set of equivalent atoms:
Rb 0.000 0.000 0.000
Tl 0.148 0.352 0.500
Au 0.140 0.640 0.000

***

First-principles (GGA-PBE) data for a relaxed structure of RbTlAu10, as listed in the Alexandria database.

abc: 4.595 5.799 10.035
angles: 90.00 90.00 90.00
Space group Pmmm (No. 47)
One atom of each set of equivalent atoms:
Rb 0.000 0.000 0.000
Tl 0.000 0.500 0.500
Au 0.000 0.000 0.340
Au 0.000 0.500 0.181
Au 0.500 0.000 0.500
Au 0.500 0.247 0.248
Au 0.500 0.500 0.000

***

| no. | calculated volume (A^3/atom) | total energy (eV/cell) | energy relative to the elements (eV per atom) |
| --- | --- | --- | --- |
| 1 | 25.85 | -54.01 | -0.0675 |
| 2 | 32.93 | -45.42 | -0.2182 |
| 3 | 32.06 | -84.84 | 0.0030 |
| 4 | 33.59 | -59.25 | -0.1889 |
| 5 | 34.10 | -278.38 | -0.0716 |
| 6 | 31.55 | -26.09 | -0.1584 |
| 7 | 30.36 | -26.22 | -0.1709 |
| 8 | 39.84 | -25.93 | 0.0477 |
| 9 | 29.43 | -73.74 | -0.1767 |
| 10 | 57.53 | -32.49 | -0.0450 |
| 11 | 52.75 | -38.47 | -0.1070 |
| 12 | 31.87 | -66.45 | -0.1116 |
| 13 | 33.22 | -47.56 | -0.1093 |
| 14 | 29.58 | -150.34 | -0.0572 |
| 15 | 31.05 | -69.35 | -0.1501 |
| 16 | 29.70 | -21.31 | -0.1306 |
| 17 | 49.68 | -74.70 | -0.1953 |
| 18 | 40.30 | -17.90 | -0.2285 |
| 19 | 28.80 | -25.21 | -0.0699 |
| 20 | 22.28 | -37.20 | -0.0912 |